Below is a relaxed Dy2Tm3Ru4 crystal, with properties calculated at the PBE level.

The structure belongs to space group P-3m1 (No. 164); the cell edges are 4.8248, 4.8248 and 9.1681 Å and the angles 90.00°, 90.00° and 120.00°. Symmetry generates all atoms from Dy at (0.3333, 0.6667, 0.2057), Tm at (0.0000, 0.0000, 0.0000), Tm at (0.3333, 0.6667, 0.5907), Ru at (0.0000, 0.0000, 0.3574) and Ru at (0.3333, 0.6667, 0.8938).

The value obtained for the total DFT energy (no corrections) is -7.01 eV/atom. The energy of formation comes out at -378 meV per atom. The volume is 20.54 A^3/atom.